1.
The following is a DFT calculation (GGA-PBE) of a relaxed B2PC crystal.

Its density of states at the Fermi level is 1.053 states/eV/f.u. The formation energy comes out at 0.2921 eV/atom. For the energy above the lowest structure with this stoichiometry, the calculation gives 216 meV/atom.

abc: 2.5448 3.3174 9.9137
angles: 90.00 90.00 90.00
Space group Amm2 (No. 38)
Asymmetric unit:
B (0.0000, 0.0000, 0.0000) [2 per cell]
B (0.0000, 0.0000, 0.1876) [2 per cell]
P (0.0000, 0.0000, 0.8038) [2 per cell]
C (0.5000, 0.0000, 0.0844) [2 per cell]


2.
The following is a DFT calculation (GGA-PBE) of a relaxed HgTe3Ru crystal.

Its density of states at the Fermi level is 6.909 states/eV/f.u. For the energy above the lowest structure with this stoichiometry, the calculation gives 1121 meV/atom. For the formation energy (no corrections), the calculation gives 1.54 eV per atom.

abc: 5.4728 5.4728 5.4728
angles: 90.00 90.00 90.00
Space group Pm-3m (No. 221)
Asymmetric unit:
Hg (0.0000, 0.0000, 0.0000) [1 per cell]
Te (0.0000, 0.0000, 0.5000) [3 per cell]
Ru (0.5000, 0.5000, 0.5000) [1 per cell]